[1]
KZrIn (PBE, optimized geometry); ΔE_f = 894 meV/atom; space-group type = No. 216; relative energy among the computed polymorphs = 945 meV/atom; theoretical density = 4.2 g/cm³
1.0
3.620 -1.907 3.112
-0.180 -4.934 1.431
3.462 -3.334 -1.824
In K Zr
1 1 1
direct
0.750 0.750 0.750
0.250 0.250 0.250
0.500 0.500 0.500

---

[2]
Tm4CSe2N (PBE, optimized geometry); space-group type = No. 10; formation energy from raw total energies = -1.480 eV/atom; theoretical density = 9.6 g/cm³
1.0
-2.971 1.868 -1.039
-0.818 -3.994 -4.840
-3.384 -2.417 5.330
Tm C Se N
4 1 2 1
direct
0.000 0.267 0.798
0.000 0.733 0.202
0.500 0.234 0.199
0.500 0.766 0.801
0.500 0.500 0.000
0.000 0.500 0.500
0.500 0.000 0.500
0.000 0.000 0.000